# 1
Density functional theory data (PBE) for an optimized crystal structure of Ca2GePd.

Properties
SG   No. 122
M_tot   0.00 μB per formula unit
Calculated total energy   -29.69 eV for the cell shown

a b c (Å): 6.4464 6.4464 6.4464
angles (deg): 104.28 104.28 120.44
Last column: nearest neighbours and their distance in Å.
Element x y z (fractional)
Ca1 0.1064 0.6250 0.9814  2 Pd 2.81, 2 Ge 3.01
Ca2 0.3750 0.3564 0.4814  2 Pd 2.81, 2 Ge 3.01
Ca3 0.6436 0.1250 0.0186  2 Pd 2.81, 2 Ge 3.01
Ca4 0.8750 0.8936 0.5186  2 Pd 2.81, 2 Ge 3.01
Ge1 0.2500 0.7500 0.5000  4 Ca 3.01, 2 Pd 3.20
Ge2 0.5000 0.5000 0.0000  4 Ca 3.01, 2 Pd 3.20
Pd1 0.0000 0.0000 0.0000  4 Ca 2.81
Pd2 0.7500 0.2500 0.5000  4 Ca 2.81



# 2
Density functional theory data (PBE) for an optimized crystal structure of CaGe6Pd12.

Properties
SG   No. 166
M_tot   0.00 μB per formula unit
Calculated total energy   -101.41 eV for the cell shown

a b c (Å): 7.2609 7.2609 7.2609
angles (deg): 105.72 105.72 105.72
Last column: nearest neighbours and their distance in Å.
Element x y z (fractional)
Ca1 0.0000 0.0000 0.0000  6 Pd 3.36
Ge1 0.2556 0.2556 0.6924  7 Pd 2.49-2.60
Ge2 0.2556 0.6924 0.2556  7 Pd 2.49-2.60
Ge3 0.3076 0.7444 0.7444  7 Pd 2.49-2.60
Ge4 0.6924 0.2556 0.2556  7 Pd 2.49-2.60
Ge5 0.7444 0.3076 0.7444  7 Pd 2.49-2.60
Ge6 0.7444 0.7444 0.3076  7 Pd 2.49-2.60
Pd1 0.1238 0.5000 0.8762  4 Ge 2.49
Pd2 0.1238 0.8762 0.5000  4 Ge 2.49
Pd3 0.1675 0.4244 0.4244  3 Ge 2.52-2.60
Pd4 0.4244 0.1675 0.4244  3 Ge 2.52-2.60
Pd5 0.4244 0.4244 0.1675  3 Ge 2.52-2.60
Pd6 0.5000 0.1238 0.8762  4 Ge 2.49
Pd7 0.5000 0.8762 0.1238  4 Ge 2.49
Pd8 0.5756 0.5756 0.8325  3 Ge 2.52-2.60
Pd9 0.5756 0.8325 0.5756  3 Ge 2.52-2.60
Pd10 0.8325 0.5756 0.5756  3 Ge 2.52-2.60
Pd11 0.8762 0.1238 0.5000  4 Ge 2.49
Pd12 0.8762 0.5000 0.1238  4 Ge 2.49



# 3
Density functional theory data (PBE) for an optimized crystal structure of CaGe2Pd.

Properties
SG   No. 122
M_tot   0.00 μB per formula unit
Calculated total energy   -35.79 eV for the cell shown

a b c (Å): 9.3911 9.3911 9.3911
angles (deg): 151.89 151.89 40.18
Last column: nearest neighbours and their distance in Å.
Element x y z (fractional)
Ca1 0.0000 0.0000 0.0000  4 Ge 3.01, 4 Pd 3.23
Ca2 0.7500 0.2500 0.5000  4 Ge 3.01, 4 Pd 3.23
Ge1 0.2481 0.6250 0.1231  2 Pd 2.55, 2 Ge 2.56
Ge2 0.3750 0.4981 0.6231  2 Pd 2.55, 2 Ge 2.56
Ge3 0.5019 0.1250 0.8769  2 Pd 2.55, 2 Ge 2.56
Ge4 0.8750 0.7519 0.3769  2 Pd 2.55, 2 Ge 2.56
Pd1 0.2500 0.7500 0.5000  4 Ge 2.55
Pd2 0.5000 0.5000 0.0000  4 Ge 2.55



# 4
Density functional theory data (PBE) for an optimized crystal structure of CaGe12Pd4.

Properties
SG   No. 204
M_tot   0.00 μB per formula unit
Calculated total energy   -81.98 eV for the cell shown

a b c (Å): 7.5608 7.5608 7.5608
angles (deg): 109.47 109.47 109.47
Last column: nearest neighbours and their distance in Å.
Element x y z (fractional)
Ca1 0.0000 0.0000 0.0000  12 Ge 3.36
Ge1 0.1502 0.3540 0.5043  2 Pd 2.52, 2 Ge 2.55-2.62
Ge2 0.1502 0.6460 0.7962  2 Pd 2.52, 2 Ge 2.55-2.62
Ge3 0.2038 0.8498 0.3540  2 Pd 2.52, 2 Ge 2.55-2.62
Ge4 0.3540 0.2038 0.8498  2 Pd 2.52, 2 Ge 2.55-2.62
Ge5 0.3540 0.5043 0.1502  2 Pd 2.52, 2 Ge 2.55-2.62
Ge6 0.4957 0.8498 0.6460  2 Pd 2.52, 2 Ge 2.55-2.62
Ge7 0.5043 0.1502 0.3540  2 Pd 2.52, 2 Ge 2.55-2.62
Ge8 0.6460 0.4957 0.8498  2 Pd 2.52, 2 Ge 2.55-2.62
Ge9 0.6460 0.7962 0.1502  2 Pd 2.52, 2 Ge 2.55-2.62
Ge10 0.7962 0.1502 0.6460  2 Pd 2.52, 2 Ge 2.55-2.62
Ge11 0.8498 0.3540 0.2038  2 Pd 2.52, 2 Ge 2.55-2.62
Ge12 0.8498 0.6460 0.4957  2 Pd 2.52, 2 Ge 2.55-2.62
Pd1 0.0000 0.0000 0.5000  6 Ge 2.52
Pd2 0.0000 0.5000 0.0000  6 Ge 2.52
Pd3 0.5000 0.0000 0.0000  6 Ge 2.52
Pd4 0.5000 0.5000 0.5000  6 Ge 2.52



# 5
Density functional theory data (PBE) for an optimized crystal structure of CaGePd2.

Properties
SG   No. 166
M_tot   0.00 μB per formula unit
Calculated total energy   -19.67 eV for the cell shown

a b c (Å): 5.5218 5.5218 5.5218
angles (deg): 46.75 46.75 46.75
Last column: nearest neighbours and their distance in Å.
Element x y z (fractional)
Ca1 0.0000 0.0000 0.0000  8 Pd 3.00-3.17
Ge1 0.5000 0.5000 0.5000  6 Pd 2.59
Pd1 0.2036 0.2036 0.2036  3 Ge 2.59, 3 Pd 2.75
Pd2 0.7964 0.7964 0.7964  3 Ge 2.59, 3 Pd 2.75



# 6
Density functional theory data (PBE) for an optimized crystal structure of Ca2Ge5Pd3.

Properties
SG   No. 72
M_tot   0.00 μB per formula unit
Calculated total energy   -97.65 eV for the cell shown

a b c (Å): 8.5933 8.5933 8.5933
angles (deg): 104.87 89.56 138.67
Last column: nearest neighbours and their distance in Å.
Element x y z (fractional)
Ca1 0.1327 0.2325 0.3651  10 Ge 3.11-3.37, 3 Pd 3.22-3.29
Ca2 0.3673 0.7325 0.0998  10 Ge 3.11-3.37, 3 Pd 3.22-3.29
Ca3 0.6327 0.2675 0.9002  10 Ge 3.11-3.37, 3 Pd 3.22-3.29
Ca4 0.8673 0.7675 0.6348  10 Ge 3.11-3.37, 3 Pd 3.22-3.29
Ge1 0.0264 0.7500 0.2764  3 Pd 2.54-2.73, 2 Ge 2.68
Ge2 0.1038 0.6577 0.7615  3 Pd 2.45-2.58, 2 Ge 2.68
Ge3 0.2500 0.2500 0.0000  4 Pd 2.57
Ge4 0.3962 0.1577 0.5539  3 Pd 2.45-2.58, 2 Ge 2.68
Ge5 0.4736 0.7500 0.7236  3 Pd 2.54-2.73, 2 Ge 2.68
Ge6 0.5264 0.2500 0.2764  3 Pd 2.54-2.73, 2 Ge 2.68
Ge7 0.6038 0.8423 0.4461  3 Pd 2.45-2.58, 2 Ge 2.68
Ge8 0.7500 0.7500 0.0000  4 Pd 2.57
Ge9 0.8962 0.3423 0.2385  3 Pd 2.45-2.58, 2 Ge 2.68
Ge10 0.9736 0.2500 0.7236  3 Pd 2.54-2.73, 2 Ge 2.68
Pd1 0.1399 0.8881 0.0280  5 Ge 2.45-2.57
Pd2 0.2500 0.7500 0.5000  6 Ge 2.58-2.73
Pd3 0.3601 0.3881 0.7482  5 Ge 2.45-2.57
Pd4 0.6399 0.6119 0.2518  5 Ge 2.45-2.57
Pd5 0.7500 0.2500 0.5000  6 Ge 2.58-2.73
Pd6 0.8601 0.1119 0.9720  5 Ge 2.45-2.57



# 7
Density functional theory data (PBE) for an optimized crystal structure of Ca2GePd6.

Properties
SG   No. 12
M_tot   0.00 μB per formula unit
Calculated total energy   -45.57 eV for the cell shown

a b c (Å): 5.7395 5.7395 6.0562
angles (deg): 103.40 103.40 60.04
Last column: nearest neighbours and their distance in Å.
Element x y z (fractional)
Ca1 0.1414 0.1414 0.3346  9 Pd 2.98-3.20
Ca2 0.8586 0.8586 0.6654  9 Pd 2.98-3.20
Ge1 0.5000 0.5000 0.5000  6 Pd 2.45-2.49
Pd1 0.1050 0.6231 0.1906  1 Ge 2.49, 2 Pd 2.77
Pd2 0.3769 0.8950 0.8094  1 Ge 2.49, 2 Pd 2.77
Pd3 0.3809 0.3809 0.8065  1 Ge 2.45
Pd4 0.6191 0.6191 0.1935  1 Ge 2.45
Pd5 0.6231 0.1050 0.1906  1 Ge 2.49, 2 Pd 2.77
Pd6 0.8950 0.3769 0.8094  1 Ge 2.49, 2 Pd 2.77



# 8
Density functional theory data (PBE) for an optimized crystal structure of Ca2GePd.

Properties
SG   No. 11
M_tot   0.00 μB per formula unit
Calculated total energy   -33.09 eV for the cell shown

a b c (Å): 5.5881 4.4599 8.3615
angles (deg): 90.00 104.60 90.00
Last column: nearest neighbours and their distance in Å.
Element x y z (fractional)
Ca1 0.2113 0.2500 0.4314  3 Pd 2.99-3.26, 4 Ge 3.03-3.24
Ca2 0.2850 0.7500 0.0738  4 Pd 3.01-3.26, 3 Ge 3.04-3.23
Ca3 0.7150 0.2500 0.9262  4 Pd 3.01-3.26, 3 Ge 3.04-3.23
Ca4 0.7887 0.7500 0.5686  3 Pd 2.99-3.26, 4 Ge 3.03-3.24
Ge1 0.3418 0.7500 0.7217  2 Pd 2.53
Ge2 0.6582 0.2500 0.2783  2 Pd 2.53
Pd1 0.1648 0.2500 0.7793  2 Ge 2.53
Pd2 0.8352 0.7500 0.2207  2 Ge 2.53



# 9
Density functional theory data (PBE) for an optimized crystal structure of CaGe3Pd2.

Properties
SG   No. 63
M_tot   0.00 μB per formula unit
Calculated total energy   -57.63 eV for the cell shown

a b c (Å): 6.4049 6.4049 6.0639
angles (deg): 90.00 90.00 94.02
Last column: nearest neighbours and their distance in Å.
Element x y z (fractional)
Ca1 0.2122 0.7878 0.7500  10 Ge 3.27-3.53, 4 Pd 3.42
Ca2 0.7878 0.2122 0.2500  10 Ge 3.27-3.53, 4 Pd 3.42
Ge1 0.0336 0.2535 0.7500  2 Pd 2.46, 2 Ge 2.51-2.60
Ge2 0.2535 0.0336 0.2500  2 Pd 2.46, 2 Ge 2.51-2.60
Ge3 0.3530 0.6470 0.2500  4 Pd 2.52, 2 Ge 2.60
Ge4 0.6470 0.3530 0.7500  4 Pd 2.52, 2 Ge 2.60
Ge5 0.7465 0.9664 0.7500  2 Pd 2.46, 2 Ge 2.51-2.60
Ge6 0.9664 0.7465 0.2500  2 Pd 2.46, 2 Ge 2.51-2.60
Pd1 0.3321 0.3321 0.0000  4 Ge 2.46-2.52
Pd2 0.3321 0.3321 0.5000  4 Ge 2.46-2.52
Pd3 0.6679 0.6679 0.0000  4 Ge 2.46-2.52
Pd4 0.6679 0.6679 0.5000  4 Ge 2.46-2.52



Result set for formation energy: -24.9; -47.7; -35.4; -21.6; -64.3; -59.4; -62.1; -65.9; -41.4 kJ per mole of atoms, one per record in the order listed.